Entry 1:
! Rb3TlSb (GGA-PBE, optimized geometry); values from VASP
! * magnetization: 0.96 μB per formula unit
! * relative energy among the computed polymorphs: 243 meV/atom
! * DOS at the Fermi energy: 4.98 states/eV/cell
! * ΔE_f (raw): 0.06 eV/atom
&SYSTEM
  ibrav = 0, nat = 5, ntyp = 3
/
ATOMIC_SPECIES
Rb 85.47 Rb.upf
Tl 204.38 Tl.upf
Sb 121.76 Sb.upf
CELL_PARAMETERS angstrom
7.082 0.000 0.000
0.000 7.082 0.000
0.000 0.000 7.082
ATOMIC_POSITIONS angstrom
Rb 0.000 0.000 3.541
Rb 0.000 3.541 0.000
Rb 3.541 0.000 0.000
Tl 3.541 3.541 3.541
Sb 0.000 0.000 0.000


Entry 2:
! MnP3 (GGA-PBE, optimized geometry); values from VASP
! * magnetization: 0.00 μB per formula unit
! * relative energy among the computed polymorphs: 49 meV/atom
! * DOS at the Fermi energy: 1.15 states/eV/cell
! * energy relative to the elements: -43 kJ/mol of formula units
&SYSTEM
  ibrav = 0, nat = 4, ntyp = 2
/
ATOMIC_SPECIES
Mn 54.94 Mn.upf
P 30.97 P.upf
CELL_PARAMETERS angstrom
3.321 -2.037 0.000
3.321 2.037 0.000
-0.315 0.000 4.181
ATOMIC_POSITIONS angstrom
Mn 0.000 0.000 0.000
P 2.213 0.183 0.681
P 4.114 0.183 3.500
P 3.164 -1.232 2.090


Entry 3:
! MnBeNb2 (GGA-PBE, optimized geometry); values from VASP
! * magnetization: 0.00 μB per formula unit
! * DOS at the Fermi energy: 3.02 states/eV/cell
! * energy relative to the elements: 229 kJ/mol of formula units
&SYSTEM
  ibrav = 0, nat = 4, ntyp = 3
/
ATOMIC_SPECIES
Mn 54.94 Mn.upf
Be 9.01 Be.upf
Nb 92.91 Nb.upf
CELL_PARAMETERS angstrom
1.427 0.824 8.628
-1.427 0.824 8.628
0.000 -1.648 8.628
ATOMIC_POSITIONS angstrom
Mn 0.000 0.000 0.000
Be 0.000 0.000 12.942
Nb 0.000 0.000 2.267
Nb 0.000 0.000 23.617


Entry 4:
! BiAsPb2 (GGA-PBE, optimized geometry); values from VASP
! * magnetization: 0.00 μB per formula unit
! * relative energy among the computed polymorphs: 40 meV/atom
! * DOS at the Fermi energy: 2.68 states/eV/cell
! * energy relative to the elements: 35 kJ/mol of formula units
&SYSTEM
  ibrav = 0, nat = 4, ntyp = 3
/
ATOMIC_SPECIES
Bi 208.98 Bi.upf
As 74.92 As.upf
Pb 207.20 Pb.upf
CELL_PARAMETERS angstrom
3.625 0.000 0.000
0.000 3.625 0.000
0.000 0.000 8.842
ATOMIC_POSITIONS angstrom
Bi 0.000 0.000 0.000
As 0.000 0.000 4.421
Pb 1.812 1.812 2.569
Pb 1.812 1.812 6.274


Entry 5:
! MnCd2Hg (GGA-PBE, optimized geometry); values from VASP
! * magnetization: 3.93 μB per formula unit
! * DOS at the Fermi energy: 2.61 states/eV/cell
! * energy relative to the elements: 86 kJ/mol of formula units
&SYSTEM
  ibrav = 0, nat = 4, ntyp = 3
/
ATOMIC_SPECIES
Mn 54.94 Mn.upf
Cd 112.41 Cd.upf
Hg 200.59 Hg.upf
CELL_PARAMETERS angstrom
3.019 -4.228 0.000
3.019 4.228 0.000
0.000 0.000 3.228
ATOMIC_POSITIONS angstrom
Mn 0.000 0.000 0.000
Cd 1.509 2.114 1.614
Cd 1.509 -2.114 1.614
Hg 3.019 0.000 0.000


Entry 6:
! PuTi2FeN4 (GGA-PBE, optimized geometry); values from VASP
! * magnetization: 2.95 μB per formula unit
! * DOS at the Fermi energy: 14.02 states/eV/cell
! * ΔE_f (raw): -1.17 eV/atom
&SYSTEM
  ibrav = 0, nat = 16, ntyp = 4
/
ATOMIC_SPECIES
Pu 244.00 Pu.upf
Ti 47.87 Ti.upf
Fe 55.84 Fe.upf
N 14.01 N.upf
CELL_PARAMETERS angstrom
1.543 -5.288 0.000
1.543 5.288 0.000
0.000 0.000 10.510
ATOMIC_POSITIONS angstrom
Pu 1.543 4.175 7.883
Pu 1.543 -4.175 2.628
Ti 1.543 1.385 5.754
Ti 1.543 1.385 10.011
Ti 1.543 -1.385 0.499
Ti 1.543 -1.385 4.756
Fe 1.543 3.621 2.628
Fe 1.543 -3.621 7.883
N 0.000 0.000 0.000
N 0.000 0.000 5.255
N 1.543 2.432 1.191
N 1.543 2.432 4.064
N 1.543 0.612 7.883
N 1.543 -0.612 2.628
N 1.543 -2.432 6.446
N 1.543 -2.432 9.320


> What is the magnetization in the second record?

0.00 μB per formula unit